A plane-wave DFT calculation with PBE was carried out for a geometry-optimized LiCu3Os structure.

## Properties
Calculated volume in A^3/atom: 12.28
Magnetization in Bohr magnetons per cell: 0.1
Energy of formation in eV per atom: 0.889
Calculated density in g/cm3: 10.49
Energy above the lowest structure with this stoichiometry in eV/f.u.: 0.000

```
LiCu3Os
1.0
-3.2360 -2.2545 0.0762
0.0210 -0.1634 -3.9413
2.2557 -3.2328 0.1460
Cu Os Li
3 1 1
direct
0.5000 0.0000 0.0000 Cu
0.0000 0.0000 0.5000 Cu
0.0000 0.5000 0.0000 Cu
0.5000 0.5000 0.5000 Os
0.0000 0.0000 0.0000 Li
```

A plane-wave DFT calculation with PBE was carried out for a geometry-optimized MnNbC3 structure.

## Properties
Calculated volume in A^3/atom: 10.26
Magnetization in Bohr magnetons per cell: 1.5
Energy of formation in eV per atom: 1.503
Calculated density in g/cm3: 5.95

```
MnNbC3
1.0
-1.0692 -3.2746 -1.3930
3.2761 -0.3380 -1.7203
1.3893 -1.7232 2.9844
Nb C Mn
1 3 1
direct
0.5000 0.5000 0.5000 Nb
0.5000 0.0000 0.0000 C
0.0000 0.0000 0.5000 C
0.0000 0.5000 0.0000 C
0.0000 0.0000 0.0000 Mn
```

A plane-wave DFT calculation with PBE was carried out for a geometry-optimized K2TiZnF structure.

## Properties
Calculated volume in A^3/atom: 41.74
Magnetization in Bohr magnetons per cell: 3.8
Calculated density in g/cm3: 1.67
Formation energy from raw total energies in kJ/mol of atoms: 10.6

```
K2TiZnF
1.0
6.3851 0.0000 0.0000
0.0000 5.1194 0.0000
0.0000 0.0000 6.3851
K F Zn Ti
2 1 1 1
direct
0.5000 0.0000 0.0000 K
0.0000 0.0000 0.5000 K
0.5000 0.5000 0.5000 F
0.0000 0.0000 0.0000 Zn
0.0000 0.5000 0.0000 Ti
```

A plane-wave DFT calculation with PBE was carried out for a geometry-optimized Cr2SbAu structure.

## Properties
Calculated volume in A^3/atom: 20.09
Magnetization in Bohr magnetons per cell: 15.0
Calculated density in g/cm3: 8.74
Formation energy from raw total energies in kJ/mol of atoms: 49.4

```
Cr2SbAu
1.0
-3.4398 -6.1996 -1.9804
5.9527 -2.0915 -3.7920
2.3163 -5.5045 -0.4728
Cr Sb Au
4 2 2
direct
0.1230 0.6250 0.2500 Cr
0.8750 0.8770 0.7500 Cr
0.6270 0.1250 0.2500 Cr
0.3750 0.3730 0.7500 Cr
0.2500 0.7500 0.5000 Sb
0.5000 0.5000 0.0000 Sb
0.7500 0.2500 0.5000 Au
0.0000 0.0000 0.0000 Au
```

A plane-wave DFT calculation with PBE was carried out for a geometry-optimized Ba3Li2 structure.

## Properties
Calculated volume in A^3/atom: 49.38
Magnetization in Bohr magnetons per cell: 0.0
Energy of formation in eV per atom: 0.158
Calculated density in g/cm3: 2.86
Energy above the lowest structure with this stoichiometry in eV/f.u.: 0.607

```
Ba3Li2
1.0
-14.2690 -4.8444 4.2425
-12.3016 -8.6609 4.3279
-12.1522 -6.0907 7.7653
Li Ba
2 3
direct
0.3959 0.3959 0.3959 Li
0.6041 0.6041 0.6041 Li
0.7925 0.7925 0.7925 Ba
0.2075 0.2075 0.2075 Ba
0.0000 0.0000 0.0000 Ba
```

A plane-wave DFT calculation with PBE was carried out for a geometry-optimized ScNiAu2 structure.

## Properties
Calculated volume in A^3/atom: 16.91
Magnetization in Bohr magnetons per cell: 0.0
Energy of formation in eV per atom: -0.435
Calculated density in g/cm3: 12.21

```
ScNiAu2
1.0
-3.7815 1.7934 -1.8448
-0.3576 0.4065 -4.5416
-2.9040 -2.6709 -2.3135
Au Ni Sc
2 1 1
direct
0.2500 0.2500 0.2500 Au
0.0000 0.0000 0.0000 Au
0.5000 0.5000 0.5000 Ni
0.7500 0.7500 0.7500 Sc
```